A relaxed Ta2Zn crystal. Source: Alexandria via LeMat-Bulk, functional PBE-GGA.

Structure (POSCAR):
```
Ta2Zn
1.0
6.072 0.000 0.000
0.000 6.072 0.000
0.000 0.000 6.072
Ta Zn
8 4
Cartesian
0.829 0.829 0.829 Ta
0.829 2.206 3.865 Ta
2.206 3.865 0.829 Ta
2.206 5.242 3.865 Ta
3.865 0.829 2.206 Ta
3.865 2.206 5.242 Ta
5.242 3.865 2.206 Ta
5.242 5.242 5.242 Ta
0.000 0.000 3.036 Zn
0.000 3.036 0.000 Zn
3.036 0.000 0.000 Zn
3.036 3.036 3.036 Zn
```

## Properties
The magnetic moment comes out at 0.00 Bohr magnetons per cell. Its space group is Pa-3 (205). The total DFT energy (no corrections) is -90.0 eV/cell.

***

A relaxed Ta3Zn crystal. Source: Alexandria via LeMat-Bulk, functional PBE-GGA.

Structure (POSCAR):
```
Ta3Zn
1.0
2.757 0.000 0.000
0.000 2.827 0.000
0.000 0.000 9.444
Ta Zn
3 1
Cartesian
0.000 0.000 0.000 Ta
0.000 1.413 2.539 Ta
1.379 1.413 7.136 Ta
1.379 0.000 4.650 Zn
```

## Properties
The magnetic moment comes out at 0.00 Bohr magnetons per cell. Its space group is Pmm2 (25). The total DFT energy (no corrections) is -35.4 eV/cell.

***

A relaxed TaZn crystal. Source: Alexandria via LeMat-Bulk, functional PBE-GGA.

Structure (POSCAR):
```
TaZn
1.0
0.000 3.234 3.234
3.234 0.000 3.234
3.234 3.234 0.000
Ta Zn
2 2
Cartesian
0.809 0.809 0.809 Ta
5.660 5.660 5.660 Ta
2.426 2.426 2.426 Zn
4.043 4.043 4.043 Zn
```

## Properties
The magnetic moment comes out at 0.65 Bohr magnetons per cell. Its space group is Fd-3m (227). The total DFT energy (no corrections) is -24.5 eV/cell.

***

A relaxed Ta3Zn crystal. Source: Alexandria via LeMat-Bulk, functional PBE-GGA.

Structure (POSCAR):
```
Ta3Zn
1.0
3.367 0.000 0.000
0.000 3.367 0.000
0.000 0.000 6.100
Ta Zn
3 1
Cartesian
0.000 0.000 0.000 Ta
1.684 1.684 1.547 Ta
1.684 1.684 4.553 Ta
0.000 0.000 3.050 Zn
```

## Properties
The magnetic moment comes out at 0.00 Bohr magnetons per cell. Its space group is P4/mmm (123). The total DFT energy (no corrections) is -36.8 eV/cell.

***

A relaxed Ta3Zn crystal. Source: Alexandria via LeMat-Bulk, functional PBE-GGA.

Structure (POSCAR):
```
Ta3Zn
1.0
2.894 0.000 0.000
-1.447 2.506 0.000
0.000 0.000 9.870
Ta Zn
3 1
Cartesian
0.000 0.000 0.000 Ta
1.447 0.835 2.570 Ta
1.447 0.835 7.300 Ta
0.000 0.000 4.935 Zn
```

## Properties
The magnetic moment comes out at 0.00 Bohr magnetons per cell. Its space group is P-6m2 (187). The total DFT energy (no corrections) is -36.0 eV/cell.

***

A relaxed TaZn3 crystal. Source: Alexandria via LeMat-Bulk, functional PBE-GGA.

Structure (POSCAR):
```
TaZn3
1.0
2.804 -4.155 0.000
2.804 4.155 0.000
0.000 0.000 2.726
Ta Zn
1 3
Cartesian
0.000 0.000 0.000 Ta
1.402 2.078 1.363 Zn
1.402 -2.078 1.363 Zn
2.804 0.000 0.000 Zn
```

## Properties
The magnetic moment comes out at 0.00 Bohr magnetons per cell. Its space group is Cmmm (65). The total DFT energy (no corrections) is -15.4 eV/cell.

***

A relaxed TaZn crystal. Source: Alexandria via LeMat-Bulk, functional PBE-GGA.

Structure (POSCAR):
```
TaZn
1.0
4.545 0.000 0.000
-2.272 3.936 0.000
0.000 0.000 8.152
Ta Zn
4 4
Cartesian
0.000 0.000 2.038 Ta
0.000 0.000 6.114 Ta
0.000 2.624 2.038 Ta
2.272 1.312 6.114 Ta
0.000 2.624 4.783 Zn
0.000 2.624 7.445 Zn
2.272 1.312 0.707 Zn
2.272 1.312 3.369 Zn
```

## Properties
The magnetic moment comes out at 0.00 Bohr magnetons per cell. Its space group is P6_3/mmc (194). The total DFT energy (no corrections) is -47.2 eV/cell.

***

A relaxed Ta3Zn crystal. Source: Alexandria via LeMat-Bulk, functional PBE-GGA.

Structure (POSCAR):
```
Ta3Zn
1.0
4.718 0.000 0.000
0.000 5.576 0.000
0.000 0.000 5.298
Ta Zn
6 2
Cartesian
1.179 0.036 0.797 Ta
1.179 2.753 0.797 Ta
1.179 4.182 3.332 Ta
3.538 1.394 1.966 Ta
3.538 2.824 4.501 Ta
3.538 5.541 4.501 Ta
1.179 1.394 3.506 Zn
3.538 4.182 1.792 Zn
```

## Properties
The magnetic moment comes out at 0.00 Bohr magnetons per cell. Its space group is Pmmn (59). The total DFT energy (no corrections) is -72.6 eV/cell.

***

A relaxed Ta2Zn crystal. Source: Alexandria via LeMat-Bulk, functional PBE-GGA.

Structure (POSCAR):
```
Ta2Zn
1.0
-1.392 2.150 9.495
1.392 -2.150 9.495
1.392 2.150 -9.495
Ta Zn
4 2
Cartesian
0.000 1.075 0.820 Ta
0.000 1.075 3.529 Ta
1.392 1.075 5.966 Ta
1.392 1.075 8.675 Ta
1.392 1.075 -2.108 Zn
0.000 1.075 11.602 Zn
```

## Properties
The magnetic moment comes out at 0.00 Bohr magnetons per cell. Its space group is Imma (74). The total DFT energy (no corrections) is -46.6 eV/cell.

***

A relaxed Ta2Zn crystal. Source: Alexandria via LeMat-Bulk, functional PBE-GGA.

Structure (POSCAR):
```
Ta2Zn
1.0
0.000 3.850 3.850
3.850 0.000 3.850
3.850 3.850 0.000
Ta Zn
4 2
Cartesian
0.000 0.000 0.000 Ta
1.925 1.925 0.000 Ta
1.925 0.000 1.925 Ta
0.000 1.925 1.925 Ta
2.887 2.887 2.887 Zn
4.812 4.812 4.812 Zn
```

## Properties
The magnetic moment comes out at 0.00 Bohr magnetons per cell. Its space group is Fd-3m (227). The total DFT energy (no corrections) is -46.5 eV/cell.

***

A relaxed Ta2Zn crystal. Source: Alexandria via LeMat-Bulk, functional PBE-GGA.

Structure (POSCAR):
```
Ta2Zn
1.0
-1.502 1.898 4.523
1.502 -1.898 4.523
1.502 1.898 -4.523
Ta Zn
2 1
Cartesian
0.000 0.000 1.488 Ta
0.000 0.000 7.558 Ta
0.000 0.000 4.523 Zn
```

## Properties
The magnetic moment comes out at 0.00 Bohr magnetons per cell. Its space group is Immm (71). The total DFT energy (no corrections) is -24.7 eV/cell.

***

A relaxed Ta3Zn crystal. Source: Alexandria via LeMat-Bulk, functional PBE-GGA.

Structure (POSCAR):
```
Ta3Zn
1.0
5.181 0.000 0.000
0.000 5.181 0.000
0.000 0.000 5.181
Ta Zn
6 2
Cartesian
0.000 1.295 2.590 Ta
0.000 3.886 2.590 Ta
1.295 2.590 0.000 Ta
2.590 0.000 1.295 Ta
2.590 0.000 3.886 Ta
3.886 2.590 0.000 Ta
0.000 0.000 0.000 Zn
2.590 2.590 2.590 Zn
```

## Properties
The magnetic moment comes out at 0.00 Bohr magnetons per cell. Its space group is Pm-3n (223). The total DFT energy (no corrections) is -72.9 eV/cell.

***

A relaxed TaZn crystal. Source: Alexandria via LeMat-Bulk, functional PBE-GGA.

Structure (POSCAR):
```
TaZn
1.0
2.857 0.000 0.000
-1.428 2.474 0.000
0.000 0.000 9.528
Ta Zn
2 2
Cartesian
0.000 0.000 0.000 Ta
0.000 0.000 4.764 Ta
0.000 1.649 2.382 Zn
1.428 0.825 7.146 Zn
```

## Properties
The magnetic moment comes out at 0.00 Bohr magnetons per cell. Its space group is P6_3/mmc (194). The total DFT energy (no corrections) is -25.6 eV/cell.

***

A relaxed Ta5Zn crystal. Source: Alexandria via LeMat-Bulk, functional PBE-GGA.

Structure (POSCAR):
```
Ta5Zn
1.0
4.895 0.000 0.000
0.000 1.377 8.020
0.000 -1.377 8.020
Ta Zn
5 1
Cartesian
0.000 0.000 0.000 Ta
0.000 0.000 5.237 Ta
2.447 0.000 3.714 Ta
2.447 0.000 9.120 Ta
2.447 0.000 14.478 Ta
0.000 0.000 10.676 Zn
```

## Properties
The magnetic moment comes out at 0.00 Bohr magnetons per cell. Its space group is Amm2 (38). The total DFT energy (no corrections) is -59.4 eV/cell.

***

A relaxed TaZn crystal. Source: Alexandria via LeMat-Bulk, functional PBE-GGA.

Structure (POSCAR):
```
TaZn
1.0
7.043 0.000 0.000
0.000 7.043 0.000
0.000 0.000 7.043
Ta Zn
6 6
Cartesian
0.000 1.761 3.522 Ta
0.000 5.282 3.522 Ta
1.761 3.522 0.000 Ta
3.522 0.000 1.761 Ta
3.522 0.000 5.282 Ta
5.282 3.522 0.000 Ta
0.000 3.522 1.761 Zn
0.000 3.522 5.282 Zn
1.761 0.000 3.522 Zn
3.522 1.761 0.000 Zn
3.522 5.282 0.000 Zn
5.282 0.000 3.522 Zn
```

## Properties
The magnetic moment comes out at 0.00 Bohr magnetons per cell. Its space group is Pm-3n (223). The total DFT energy (no corrections) is -54.0 eV/cell.

***

A relaxed Ta3Zn4 crystal. Source: Alexandria via LeMat-Bulk, functional PBE-GGA.

Structure (POSCAR):
```
Ta3Zn4
1.0
5.361 0.000 0.000
-2.681 4.643 0.000
0.000 0.000 5.020
Ta Zn
3 4
Cartesian
-1.340 2.322 0.000 Ta
2.681 0.000 0.000 Ta
1.340 2.322 0.000 Ta
0.000 0.000 1.223 Zn
0.000 0.000 3.797 Zn
0.000 3.095 2.510 Zn
2.681 1.548 2.510 Zn
```

## Properties
The magnetic moment comes out at 0.00 Bohr magnetons per cell. Its space group is P6/mmm (191). The total DFT energy (no corrections) is -38.5 eV/cell.

***

A relaxed Ta3Zn crystal. Source: Alexandria via LeMat-Bulk, functional PBE-GGA.

Structure (POSCAR):
```
Ta3Zn
1.0
0.000 3.265 3.265
3.265 0.000 3.265
3.265 3.265 0.000
Ta Zn
3 1
Cartesian
0.000 0.000 0.000 Ta
1.632 1.632 1.632 Ta
4.897 4.897 4.897 Ta
3.265 3.265 3.265 Zn
```

## Properties
The magnetic moment comes out at 0.00 Bohr magnetons per cell. Its space group is Fm-3m (225). The total DFT energy (no corrections) is -36.2 eV/cell.

***

A relaxed TaZn crystal. Source: Alexandria via LeMat-Bulk, functional PBE-GGA.

Structure (POSCAR):
```
TaZn
1.0
9.881 0.000 0.000
0.000 9.881 0.000
0.000 0.000 2.813
Ta Zn
8 8
Cartesian
0.626 3.623 0.000 Ta
1.274 8.351 1.407 Ta
1.530 1.274 1.407 Ta
3.623 9.255 0.000 Ta
6.258 0.626 0.000 Ta
8.351 8.607 1.407 Ta
8.607 1.530 1.407 Ta
9.255 6.258 0.000 Ta
2.088 6.058 0.000 Zn
3.151 4.168 1.407 Zn
3.823 2.088 0.000 Zn
4.168 6.730 1.407 Zn
5.713 3.151 1.407 Zn
6.058 7.793 0.000 Zn
6.730 5.713 1.407 Zn
7.793 3.823 0.000 Zn
```

## Properties
The magnetic moment comes out at 0.00 Bohr magnetons per cell. Its space group is P4/m (83). The total DFT energy (no corrections) is -100.9 eV/cell.

***

A relaxed Ta2Zn crystal. Source: Alexandria via LeMat-Bulk, functional PBE-GGA.

Structure (POSCAR):
```
Ta2Zn
1.0
-1.995 1.995 12.756
1.995 -1.995 12.756
1.995 1.995 -12.756
Ta Zn
8 4
Cartesian
1.995 -0.998 7.404 Ta
1.995 0.998 -3.247 Ta
1.995 -0.998 11.731 Ta
0.000 0.998 3.132 Ta
1.995 0.998 9.625 Ta
0.000 2.993 1.026 Ta
0.000 0.998 16.003 Ta
0.000 2.993 5.352 Ta
1.995 0.998 1.062 Zn
1.995 0.998 5.316 Zn
0.000 0.998 7.440 Zn
0.000 0.998 11.694 Zn
```

## Properties
The magnetic moment comes out at 0.00 Bohr magnetons per cell. Its space group is I4_1/amd (141). The total DFT energy (no corrections) is -99.4 eV/cell.

***

A relaxed Ta2Zn crystal. Source: Alexandria via LeMat-Bulk, functional PBE-GGA.

Structure (POSCAR):
```
Ta2Zn
1.0
1.902 -6.295 0.000
1.902 6.295 0.000
0.000 0.000 4.264
Ta Zn
4 2
Cartesian
1.902 5.291 3.198 Ta
1.902 3.188 1.066 Ta
1.902 -3.188 3.198 Ta
1.902 -5.291 1.066 Ta
1.902 1.076 3.198 Zn
1.902 -1.076 1.066 Zn
```

## Properties
The magnetic moment comes out at 0.00 Bohr magnetons per cell. Its space group is Cmcm (63). The total DFT energy (no corrections) is -49.5 eV/cell.

***

A relaxed Ta3Zn crystal. Source: Alexandria via LeMat-Bulk, functional PBE-GGA.

Structure (POSCAR):
```
Ta3Zn
1.0
4.680 2.702 0.919
-4.680 2.702 0.919
0.000 -5.404 0.919
Ta Zn
3 1
Cartesian
-2.340 -1.351 0.919 Ta
-2.340 1.351 1.838 Ta
0.000 2.702 0.919 Ta
0.000 0.000 0.000 Zn
```

## Properties
The magnetic moment comes out at 0.00 Bohr magnetons per cell. Its space group is R-3m (166). The total DFT energy (no corrections) is -36.5 eV/cell.

***

A relaxed TaZn3 crystal. Source: Alexandria via LeMat-Bulk, functional PBE-GGA.

Structure (POSCAR):
```
TaZn3
1.0
5.062 0.000 0.000
0.000 5.062 0.000
0.000 0.000 5.062
Ta Zn
2 6
Cartesian
0.000 0.000 0.000 Ta
2.531 2.531 2.531 Ta
0.000 1.265 2.531 Zn
0.000 3.796 2.531 Zn
1.265 2.531 0.000 Zn
2.531 0.000 1.265 Zn
2.531 0.000 3.796 Zn
3.796 2.531 0.000 Zn
```

## Properties
The magnetic moment comes out at 1.13 Bohr magnetons per cell. Its space group is Pm-3n (223). The total DFT energy (no corrections) is -28.1 eV/cell.

***

A relaxed TaZn crystal. Source: Alexandria via LeMat-Bulk, functional PBE-GGA.

Structure (POSCAR):
```
TaZn
1.0
4.717 0.000 0.000
0.000 13.842 0.000
0.000 0.000 3.003
Ta Zn
6 6
Cartesian
1.179 0.984 0.161 Ta
1.179 3.460 1.629 Ta
1.179 5.937 0.161 Ta
3.538 7.905 2.842 Ta
3.538 10.382 1.374 Ta
3.538 12.858 2.842 Ta
1.179 8.336 1.424 Zn
1.179 10.382 2.889 Zn
1.179 12.427 1.424 Zn
3.538 1.415 1.579 Zn
3.538 3.460 0.114 Zn
3.538 5.506 1.579 Zn
```

## Properties
The magnetic moment comes out at 0.00 Bohr magnetons per cell. Its space group is Pmmn (59). The total DFT energy (no corrections) is -77.7 eV/cell.

***

A relaxed TaZn3 crystal. Source: Alexandria via LeMat-Bulk, functional PBE-GGA.

Structure (POSCAR):
```
TaZn3
1.0
2.863 0.000 0.000
-1.431 2.479 0.000
0.000 0.000 9.026
Ta Zn
1 3
Cartesian
0.000 0.000 0.000 Ta
0.000 0.000 4.513 Zn
0.000 1.653 2.345 Zn
0.000 1.653 6.681 Zn
```

## Properties
The magnetic moment comes out at 0.00 Bohr magnetons per cell. Its space group is P-6m2 (187). The total DFT energy (no corrections) is -15.4 eV/cell.

***

A relaxed Ta3Zn crystal. Source: Alexandria via LeMat-Bulk, functional PBE-GGA.

Structure (POSCAR):
```
Ta3Zn
1.0
4.749 0.000 0.000
0.000 4.749 0.000
0.000 0.000 4.749
Ta Zn
3 1
Cartesian
0.000 0.000 2.375 Ta
0.000 2.375 0.000 Ta
2.375 0.000 0.000 Ta
0.000 0.000 0.000 Zn
```

## Properties
The magnetic moment comes out at 0.00 Bohr magnetons per cell. Its space group is Pm-3m (221). The total DFT energy (no corrections) is -26.8 eV/cell.

***

A relaxed Ta2Zn crystal. Source: Alexandria via LeMat-Bulk, functional PBE-GGA.

Structure (POSCAR):
```
Ta2Zn
1.0
1.367 -7.886 0.000
1.367 7.886 0.000
0.000 0.000 4.866
Ta Zn
4 2
Cartesian
1.367 7.090 3.650 Ta
1.367 1.947 3.650 Ta
1.367 -1.947 1.217 Ta
1.367 -7.090 1.217 Ta
1.367 3.411 1.217 Zn
1.367 -3.411 3.650 Zn
```

## Properties
The magnetic moment comes out at 0.00 Bohr magnetons per cell. Its space group is Cmcm (63). The total DFT energy (no corrections) is -48.8 eV/cell.

***

It is found that the mass density values, taken in the order of the records, are 12.681 13.722 12.089 14.601 14.111 9.858 11.220 14.494 12.490 12.435 13.760 14.528 12.151 14.899 7.025 10.691 14.514 11.915 13.974 13.896 14.481 9.658 12.520 9.775 9.428 13.523 g/cm3.